An optimized crystal structure of Na3Pm2HoSe6, computed with PBE.

Values from the calculation:
Calculated density in Mg/m³: 5.12
Raw formation energy in eV/atom: -1.695
D(E_F) in states/eV/cell: 0.00
Total magnetization in μB per atom: 0.00
Symmetry: No. 12

Cell: 7.2967 7.2967 7.4244 Å, 99.43 99.43 120.01°
Fractional positions:
Na 0.1675 0.8325 0.5000
Na 0.8325 0.1675 0.5000
Na 0.5000 0.5000 0.5000
Pm 0.3335 0.6665 0.0000
Pm 0.6665 0.3335 0.0000
Ho 0.0000 0.0000 0.0000
Se 0.9225 0.5963 0.7672
Se 0.7515 0.7515 0.2321
Se 0.0775 0.4037 0.2328
Se 0.5963 0.9225 0.7672
Se 0.2485 0.2485 0.7679
Se 0.4037 0.0775 0.2328